Entry 1:
# AcTl2Os3O12 (GGA-PBE, relaxed)
# E_form (uncorrected): -1.273 eV/atom
# Density: 8.79 g/cm3
# Total DFT energy (no corrections): -6.941 eV/atom
data_AcTl2Os3O12
_chemical_formula_sum 'Ac3 Tl6 Os9 O36'
_cell_length_a 7.4774
_cell_length_b 7.4774
_cell_length_c 16.3658
_cell_angle_alpha 90.00
_cell_angle_beta 90.00
_cell_angle_gamma 120.00
_space_group_name_H-M_alt 'R -3 m'
_space_group_IT_number 166
_space_group_name_Hall '-R 3 2"'
loop_
_atom_site_label
_atom_site_fract_x
_atom_site_fract_y
_atom_site_fract_z
_atom_site_occupancy
Ac1 0.0000 0.0000 0.0000 1
Tl1 0.0000 0.0000 0.3963 1
Os1 0.0000 0.5000 0.5000 1
O1 0.0507 0.5253 0.3905 1
O2 0.0823 0.5412 0.8114 1


Entry 2:
# RbPu2Te4 (GGA-PBE, relaxed)
# E_form (uncorrected): -0.951 eV/atom
# Density: 6.90 g/cm3
# Total DFT energy (no corrections): -6.979 eV/atom
data_RbPu2Te4
_chemical_formula_sum 'Rb4 Pu8 Te16'
_cell_length_a 4.506
_cell_length_b 14.954
_cell_length_c 15.479
_cell_angle_alpha 90.00
_cell_angle_beta 90.00
_cell_angle_gamma 90.00
_space_group_name_H-M_alt 'C m c m'
_space_group_IT_number 63
_space_group_name_Hall '-C 2c 2'
loop_
_atom_site_label
_atom_site_fract_x
_atom_site_fract_y
_atom_site_fract_z
_atom_site_occupancy
Rb1 0.000 0.102 0.250 1
Pu1 0.000 0.365 0.061 1
Te1 0.000 0.000 0.000 1
Te2 0.000 0.263 0.611 1
Te3 0.000 0.410 0.250 1


Entry 3:
# TlGa2Ge (GGA-PBE, relaxed)
# ΔE_f: 0.4 eV per formula unit
# Density: 7.01 g/cm3
# Total DFT energy (no corrections): -3.165 eV/atom
# Energy above the lowest structure with this stoichiometry: 0.00 eV/f.u.
data_TlGa2Ge
_chemical_formula_sum 'Tl3 Ga6 Ge3'
_cell_length_a 4.0620
_cell_length_b 4.0620
_cell_length_c 20.7027
_cell_angle_alpha 90.00
_cell_angle_beta 90.00
_cell_angle_gamma 120.00
_space_group_name_H-M_alt 'R 3 m'
_space_group_IT_number 160
_space_group_name_Hall 'R 3 -2"'
loop_
_atom_site_label
_atom_site_fract_x
_atom_site_fract_y
_atom_site_fract_z
_atom_site_occupancy
Tl1 0.0000 0.0000 0.0000 1
Ga1 0.0000 0.0000 0.5568 1
Ga2 0.0000 0.0000 0.7728 1
Ge1 0.0000 0.0000 0.1657 1


Entry 4:
# PmZn3Co (GGA-PBE, relaxed)
# ΔE_f: -0.2 eV per formula unit
# Density: 6.98 g/cm3
# Total DFT energy (no corrections): -3.180 eV/atom
# Energy above the lowest structure with this stoichiometry: 0.68 eV/f.u.
data_PmZn3Co
_chemical_formula_sum 'Pm2 Zn6 Co2'
_cell_length_a 4.274
_cell_length_b 4.569
_cell_length_c 9.746
_cell_angle_alpha 90.00
_cell_angle_beta 90.00
_cell_angle_gamma 90.00
_space_group_name_H-M_alt 'A m m 2'
_space_group_IT_number 38
loop_
_space_group_symop_operation_xyz
'x,y,z'
'-x,-y,z'
'-x,y,z'
'x,-y,z'
'x,y+1/2,z+1/2'
'-x,-y+1/2,z+1/2'
'-x,y+1/2,z+1/2'
'x,-y+1/2,z+1/2'
loop_
_atom_site_label
_atom_site_fract_x
_atom_site_fract_y
_atom_site_fract_z
_atom_site_occupancy
Pm1 0.000 0.000 0.000 1
Zn1 0.000 0.000 0.699 1
Zn2 0.500 0.000 0.225 1
Zn3 0.500 0.000 0.493 1
Co1 0.000 0.000 0.340 1


Entry 5:
# Tb4MnTl (GGA-PBE, relaxed)
# ΔE_f: -0.4 eV per formula unit
# Density: 8.98 g/cm3
# Total DFT energy (no corrections): -5.083 eV/atom
data_Tb4MnTl
_chemical_formula_sum 'Tb16 Mn4 Tl4'
_cell_length_a 8.771
_cell_length_b 12.954
_cell_length_c 6.082
_cell_angle_alpha 90.00
_cell_angle_beta 106.69
_cell_angle_gamma 90.00
_space_group_name_H-M_alt 'C 1 2/c 1'
_space_group_IT_number 15
loop_
_space_group_symop_operation_xyz
'x,y,z'
'-x,-y,-z'
'-x,y,-z+1/2'
'x,-y,z+1/2'
'x+1/2,y+1/2,z'
'-x+1/2,-y+1/2,-z'
'-x+1/2,y+1/2,-z+1/2'
'x+1/2,-y+1/2,z+1/2'
loop_
_atom_site_label
_atom_site_fract_x
_atom_site_fract_y
_atom_site_fract_z
_atom_site_occupancy
Tb1 0.107 0.165 0.044 1
Tb2 0.220 0.420 0.392 1
Mn1 0.000 0.001 0.250 1
Tl1 0.000 0.375 0.750 1


Copy entry 2 word for word.
# RbPu2Te4 (GGA-PBE, relaxed)
# E_form (uncorrected): -0.951 eV/atom
# Density: 6.90 g/cm3
# Total DFT energy (no corrections): -6.979 eV/atom
data_RbPu2Te4
_chemical_formula_sum 'Rb4 Pu8 Te16'
_cell_length_a 4.506
_cell_length_b 14.954
_cell_length_c 15.479
_cell_angle_alpha 90.00
_cell_angle_beta 90.00
_cell_angle_gamma 90.00
_space_group_name_H-M_alt 'C m c m'
_space_group_IT_number 63
_space_group_name_Hall '-C 2c 2'
loop_
_atom_site_label
_atom_site_fract_x
_atom_site_fract_y
_atom_site_fract_z
_atom_site_occupancy
Rb1 0.000 0.102 0.250 1
Pu1 0.000 0.365 0.061 1
Te1 0.000 0.000 0.000 1
Te2 0.000 0.263 0.611 1
Te3 0.000 0.410 0.250 1